# 1
GGA-PBE BaTaW, optimized geometry; offset from the most stable computed form = 485 meV per atom
1.0
3.028 0.000 0.000
-1.514 2.622 0.000
0.000 0.000 8.673
Ba Ta W
1 1 1
direct
0.000 0.000 0.000
0.333 0.667 0.374
0.667 0.333 0.648

***

# 2
GGA-PBE Ba2TaW, optimized geometry; offset from the most stable computed form = 849 meV per atom
1.0
3.043 0.000 0.000
0.000 5.742 0.000
0.000 0.000 6.104
Ba Ta W
2 1 1
direct
0.000 0.000 0.249
0.000 0.000 0.751
0.500 0.500 0.500
0.500 0.500 0.000

***

# 3
GGA-PBE Ba2TaW, optimized geometry; offset from the most stable computed form = 849 meV per atom
1.0
3.048 -5.731 0.000
3.048 5.731 0.000
-0.047 0.000 3.057
Ba Ta W
2 1 1
direct
0.000 0.500 0.000
0.500 0.000 0.000
0.000 0.000 0.500
0.500 0.500 0.500

***

# 4
GGA-PBE BaTa3W, optimized geometry; offset from the most stable computed form = 2122 meV per atom
1.0
4.957 0.000 0.000
0.000 4.957 0.000
0.000 0.000 4.957
Ba Ta W
1 3 1
direct
0.000 0.000 0.000
0.000 0.000 0.500
0.000 0.500 0.000
0.500 0.000 0.000
0.500 0.500 0.500

***

# 5
Density functional theory data (GGA-PBE) for crystalline BaTa4W at its relaxed geometry.

```
BaTa4W
1.0
0.000 3.973 3.973
3.973 0.000 3.973
3.973 3.973 0.000
Ba Ta W
1 4 1
direct
0.000 0.000 0.000
0.127 0.624 0.624
0.624 0.127 0.624
0.624 0.624 0.127
0.624 0.624 0.624
0.250 0.250 0.250
```

***

# 6
GGA-PBE Ba2TaW, optimized geometry; offset from the most stable computed form = 835 meV per atom
1.0
-2.151 2.151 5.766
2.151 -2.151 5.766
2.151 2.151 -5.766
Ba Ta W
2 1 1
direct
0.250 0.750 0.500
0.750 0.250 0.500
0.000 0.000 0.000
0.500 0.500 0.000

***

In eV/atom, the formation enthalpy at 0 K values for the records above are, in order, 1.32 1.53 1.53 3.43 0.92 1.52.
In eV per cell, the calculated total energy values for the records above are, in order, -22.8 -22.5 -22.5 -33.3 -56.8 -22.6.